A geometry-optimized MnMo4F12 structure, computed with GGA+U.

Cell lengths 7.2353, 7.2352, 7.2352 Å; angles 110.37, 112.32, 105.80 degrees
With the nearest neighbours (Å) after each atom.
Sites, in units of the cell vectors:
1 F 0.2967 0.1099 0.8132  2 Mo 2.12
2 F 0.2967 0.4835 0.1868  2 Mo 2.12
3 F 0.1738 0.2993 0.4732  1 Mn 2.17, 2 Mo 2.30
4 F 0.1738 0.7007 0.8745  1 Mn 2.17, 2 Mo 2.30
5 F 0.7033 0.8901 0.1868  2 Mo 2.12
6 F 0.4233 0.7511 0.6722  2 Mo 2.16
7 F 0.8262 0.2993 0.1255  1 Mn 2.17, 2 Mo 2.30
8 F 0.5767 0.2489 0.3278  2 Mo 2.16
9 F 0.7033 0.5165 0.8132  2 Mo 2.12
10 F 0.0788 0.7511 0.3278  2 Mo 2.16
11 F 0.9212 0.2489 0.6722  2 Mo 2.16
12 F 0.8262 0.7007 0.5268  1 Mn 2.17, 2 Mo 2.30
13 Mo 0.0000 0.0000 0.5000  6 F 2.12-2.30
14 Mo 0.5000 0.5000 0.5000  6 F 2.12-2.30
15 Mo 0.5000 0.0000 0.0000  6 F 2.12-2.30
16 Mo 0.0000 0.5000 0.0000  6 F 2.12-2.30
17 Mn 0.0000 0.5000 0.5000  4 F 2.17

## Properties
- final energy (Ry per atom) = -0.41916
- N(E_F) (states/eV per cell) = 2.4